Entry 1:
4
Lattice="4.4171 0.0000 0.0000 0.0000 6.5178 0.0000 0.0000 0.0000 8.9671" Properties=species:S:1:pos:R:3 comment="GGA-PBEsol K3Sr, optimized geometry" density_g_cm3=1.32 polymorph_energy_ev_per_atom=0.035 space_group=Pmmm dos_at_fermi_per_ev_fu=3.87 pbc="T T T"
K 0.0000 0.0000 0.0000
K 2.2085 3.2589 2.3090
K 2.2085 3.2589 6.6581
Sr 0.0000 0.0000 4.4835

---

Entry 2:
50
Lattice="8.6872 0.0000 0.0000 0.0000 10.9594 0.0000 -1.4554 0.0000 14.3367" Properties=species:S:1:pos:R:3 comment="GGA-PBEsol Hg3As8S8Br6, optimized geometry" density_g_cm3=4.71 total_energy_ev_per_atom=-3.78 space_group=P2_1/c pbc="T T T"
Hg 0.0000 0.0000 0.0000
Hg -0.7277 5.4797 7.1683
Hg 2.5033 1.4687 4.2972
Hg 1.7756 4.0110 11.4656
Hg 5.4562 6.9483 2.8711
Hg 4.7285 9.4907 10.0395
As 0.3046 7.5904 0.3955
As -0.4231 8.8487 7.5638
As 2.3409 6.1036 0.7693
As 1.6132 10.3354 7.9377
As 1.8463 7.2612 9.8138
As 2.5740 9.1778 2.6455
As 2.7369 6.9607 7.4596
As 3.4646 9.4783 0.2913
As 3.7672 1.4811 14.0454
As 4.4949 3.9986 6.8771
As 4.6579 1.7815 11.6912
As 5.3856 3.6981 4.5229
As 5.6187 0.6240 6.3990
As 4.8910 4.8557 13.5673
As 7.6549 2.1107 6.7729
As 6.9272 3.3690 13.9412
S -0.3560 7.6003 9.4493
S 0.3717 8.8387 2.2810
S 0.6950 7.2300 6.2781
S -0.0327 9.2091 13.4464
S 2.8975 6.9005 2.8820
S 2.1698 9.5385 10.0504
S 2.4529 7.3227 14.0535
S 3.1806 9.1163 6.8852
S 4.0512 1.8431 7.4515
S 4.7789 3.6366 0.2832
S 5.0620 1.4208 4.2863
S 4.3343 4.0589 11.4546
S 7.2645 1.7503 0.8903
S 6.5368 3.7294 8.0586
S 6.8601 2.1207 12.0557
S 7.5878 3.3590 4.8873
Br 0.4863 0.0061 5.0656
Br -0.2414 5.4735 12.2340
Br 2.2970 1.2988 1.5907
Br 1.5693 4.1809 8.7591
Br 1.4810 1.4539 12.1822
Br 2.2087 4.0258 5.0139
Br 5.0231 6.9336 9.3228
Br 5.7508 9.5054 2.1545
Br 5.6625 6.7785 5.5776
Br 4.9348 9.6606 12.7459
Br 7.4732 5.4858 2.1027
Br 6.7455 10.9532 9.2711

---

Entry 3:
4
Lattice="2.8951 -5.4272 0.0000 2.8951 5.4272 0.0000 -0.0180 0.0000 3.0202" Properties=species:S:1:pos:R:3 comment="GGA-PBEsol Ba2OsW, optimized geometry" density_g_cm3=11.35 total_energy_ev_per_atom=-5.98 space_group=C2/m dos_at_fermi_per_ev_fu=4.53 pbc="T T T"
Ba 1.4475 2.7136 0.0000
Ba 1.4475 -2.7136 0.0000
Os -0.0090 0.0000 1.5101
W 2.8861 0.0000 1.5101

---

Entry 4:
4
Lattice="3.2307 0.0000 0.0000 0.0000 3.2307 0.0000 0.0000 0.0000 7.2708" Properties=species:S:1:pos:R:3 comment="GGA-PBEsol Zr2CdOs, optimized geometry" density_g_cm3=10.61 total_energy_ev_per_atom=-8.22 space_group=P4/mmm dos_at_fermi_per_ev_fu=2.67 pbc="T T T"
Zr 0.0000 0.0000 1.6216
Zr 0.0000 0.0000 5.6492
Cd 1.6153 1.6153 3.6354
Os 1.6153 1.6153 0.0000

---

Entry 5:
4
Lattice="4.1533 0.0000 0.0000 0.0000 4.1533 0.0000 0.0000 0.0000 3.9022" Properties=species:S:1:pos:R:3 comment="GGA-PBEsol MgTlPt2, optimized geometry" density_g_cm3=15.27 total_energy_ev_per_atom=-4.98 space_group=P4/mmm dos_at_fermi_per_ev_fu=0.87 pbc="T T T"
Mg 0.0000 0.0000 0.0000
Tl 2.0767 2.0767 0.0000
Pt 0.0000 2.0767 1.9511
Pt 2.0767 0.0000 1.9511

---

Entry 6:
6
Lattice="5.0020 0.0000 0.0000 -2.5010 4.3319 0.0000 0.0000 0.0000 3.8347" Properties=species:S:1:pos:R:3 comment="GGA-PBEsol CeAlNi4, optimized geometry" density_g_cm3=8.03 total_energy_ev_per_atom=-6.30 space_group=P-6m2 dos_at_fermi_per_ev_fu=3.68 pbc="T T T"
Ce 0.0000 0.0000 0.0000
Al 2.5010 1.4440 0.0000
Ni -1.2330 2.1760 1.9173
Ni 0.0000 2.8879 0.0000
Ni 1.2330 2.1760 1.9173
Ni 0.0000 4.3117 1.9173